[1]
## Ti5BeCo6 (PBE)

Data for an optimized crystal structure of Ti5BeCo6.

Lattice parameters (Å, degrees): 4.142 12.439 5.826 90.00 90.00 90.00
Space group Cmmm (No. 65)
One atom of each set of equivalent atoms:
Ti1 0.000 0.000 0.000 [2 per cell]
Ti2 0.000 0.332 0.000 [4 per cell]
Ti3 0.000 0.341 0.500 [4 per cell]
Be1 0.000 0.000 0.500 [2 per cell]
Co1 0.000 0.164 0.255 [8 per cell]
Co2 0.000 0.500 0.251 [4 per cell]

Summary:
The value obtained for the total moment is 0.250 μB per atom. Its formation energy is -4.4 eV per formula unit. For the calculated density, the calculation gives 6.659 g/cm³. The uncorrected energy comes out at -90.2 eV per formula unit.

=====

[2]
## InAgBr2 (PBE)

Data for an optimized crystal structure of InAgBr2.

Lattice parameters (Å, degrees): 7.457 4.386 7.758 90.00 108.39 90.00
Space group C2/m (No. 12)
One atom of each set of equivalent atoms:
In1 0.000 0.000 0.000 [2 per cell]
Ag1 0.000 0.500 0.500 [2 per cell]
Br1 0.241 0.000 0.709 [4 per cell]

Summary:
The value obtained for the total moment is 0.000 μB per atom. For the calculated density, the calculation gives 5.275 g/cm³. The uncorrected energy comes out at -10.8 eV per formula unit. The value obtained for the energy above the most stable polymorph in this dataset is 2 meV per atom.

=====

> What is the formula in the second record?

InAgBr2